No. 1
Material: SbAs2Pt
Method: DFT, PBE
State: optimized geometry

a b c (Å): 6.850 6.850 6.850
angles (deg): 32.61 32.61 32.61
Fractional coordinates of all 4 atoms:
Sb (0.000, 0.000, 0.000)
As (0.238, 0.238, 0.238)
As (0.489, 0.489, 0.489)
Pt (0.749, 0.749, 0.749)

V in Å³ per cell: 83.03
Crystal system: trigonal
Total moment in Bohr magnetons per cell: 0.00
ΔE_f (raw) in eV per atom: -0.118

No. 2
Material: ReTeP2
Method: DFT, PBE
State: optimized geometry

a b c (Å): 8.800 8.800 8.800
angles (deg): 20.65 20.65 20.65
Fractional coordinates of all 4 atoms:
Re (0.000, 0.000, 0.000)
Te (0.500, 0.500, 0.500)
P (0.270, 0.270, 0.270)
P (0.730, 0.730, 0.730)

V in Å³ per cell: 74.18
Crystal system: trigonal
Total moment in Bohr magnetons per cell: 0.00
ΔE_f (raw) in eV per atom: 0.090

No. 3
Material: CaSm2Tl
Method: DFT, PBE
State: optimized geometry

a b c (Å): 4.133 4.133 7.476
angles (deg): 90.00 90.00 90.00
Fractional coordinates of all 4 atoms:
Ca (0.000, 0.000, 0.000)
Sm (0.500, 0.500, 0.271)
Sm (0.500, 0.500, 0.729)
Tl (0.000, 0.000, 0.500)

V in Å³ per cell: 127.71
Crystal system: tetragonal
Calculated formation energy in eV per atom: -0.087
Total moment in Bohr magnetons per cell: 0.00

No. 4
Material: NbPdF2
Method: DFT, PBE
State: optimized geometry

a b c (Å): 5.819 5.819 5.819
angles (deg): 101.46 101.46 127.07
Fractional coordinates of all 8 atoms:
Nb (0.000, 0.000, 0.000)
Nb (0.750, 0.250, 0.500)
Pd (0.250, 0.750, 0.500)
Pd (0.500, 0.500, 0.000)
F (0.375, 0.235, 0.360)
F (0.765, 0.125, 0.140)
F (0.875, 0.015, 0.640)
F (0.985, 0.625, 0.860)

V in Å³ per cell: 140.75
Crystal system: tetragonal
Total moment in Bohr magnetons per cell: 2.43
ΔE_f (raw) in eV per atom: -0.995

No. 5
Material: BeNbH
Method: DFT, PBE
State: optimized geometry

a b c (Å): 3.962 3.962 4.810
angles (deg): 90.00 90.00 120.00
Fractional coordinates of all 6 atoms:
Be (0.333, 0.667, 0.250)
Be (0.667, 0.333, 0.750)
Nb (0.333, 0.667, 0.750)
Nb (0.667, 0.333, 0.250)
H (0.000, 0.000, 0.000)
H (0.000, 0.000, 0.500)

V in Å³ per cell: 65.39
Crystal system: hexagonal
Raw total energy in eV per atom: -4.99
Total moment in Bohr magnetons per cell: 0.00

No. 6
Material: Re2MoRh
Method: DFT, PBE
State: optimized geometry

a b c (Å): 4.781 4.781 4.827
angles (deg): 99.07 99.07 33.45
Fractional coordinates of all 4 atoms:
Re (0.247, 0.247, 0.245)
Re (0.753, 0.753, 0.755)
Mo (0.000, 0.000, 0.500)
Rh (0.500, 0.500, 0.000)

V in Å³ per cell: 59.98
Crystal system: monoclinic
Calculated formation energy in eV per atom: 0.010
Total moment in Bohr magnetons per cell: 0.00